#one
Below is a geometry-optimized CaAc4Pm structure, with properties calculated at the PBE level.

The crystal system is orthorhombic. The volume comes out at 270.4 Å³/f.u.

The structure belongs to space group Pmma (No. 51); the cell edges are 10.809, 5.282 and 9.474 Å and the angles 90.00°, 90.00° and 90.00°. Symmetry generates all atoms from Ca at (0.250, 0.000, 0.143), Ac at (0.000, 0.000, 0.500), Ac at (0.030, 0.500, 0.808), Ac at (0.250, 0.500, 0.477) and Pm at (0.250, 0.000, 0.750).

***

#two
Below is a geometry-optimized CaAc4Pm structure, with properties calculated at the PBE level.

The crystal system is cubic. The volume comes out at 274.4 Å³/f.u.

The structure belongs to space group F-43m (No. 216); the cell edges are 10.315, 10.315 and 10.315 Å and the angles 90.00°, 90.00° and 90.00°. Symmetry generates all atoms from Ca at (0.000, 0.000, 0.000), Ac at (0.124, 0.124, 0.376) and Pm at (0.250, 0.250, 0.750).

***

#three
Below is a geometry-optimized CaAc4Pm structure, with properties calculated at the PBE level.

The crystal system is monoclinic. The volume comes out at 257.0 Å³/f.u.

The structure belongs to space group P2/c (No. 13); the cell edges are 10.126, 6.861 and 7.448 Å and the angles 90.00°, 96.46° and 90.00°. Symmetry generates all atoms from Ca at (0.000, 0.077, 0.250), Ac at (0.173, 0.421, 0.924), Ac at (0.337, 0.092, 0.583) and Pm at (0.500, 0.421, 0.250).

***

In terms of stability, #three leads; the second structure lies 15.6 kJ/mol of atoms higher.

***

#one
Below is a geometry-optimized CaAcPmZn structure, with properties calculated at the PBE level.

The crystal system is cubic. The volume comes out at 129.3 Å³/f.u.

The structure belongs to space group F-43m (No. 216); the cell edges are 8.027, 8.027 and 8.027 Å and the angles 90.00°, 90.00° and 90.00°. Symmetry generates all atoms from Ca at (0.000, 0.000, 0.000), Ac at (0.250, 0.250, 0.250), Pm at (0.250, 0.250, 0.750) and Zn at (0.000, 0.000, 0.500).

***

#two
Below is a geometry-optimized CaAcPmZn structure, with properties calculated at the PBE level.

The crystal system is tetragonal. The volume comes out at 132.7 Å³/f.u.

The structure belongs to space group P4mm (No. 99); the cell edges are 3.731, 3.731 and 9.536 Å and the angles 90.00°, 90.00° and 90.00°. Symmetry generates all atoms from Ca at (0.000, 0.000, 0.000), Ac at (0.500, 0.500, 0.330), Pm at (0.000, 0.000, 0.621) and Zn at (0.500, 0.500, 0.803).

***

In terms of stability, #two leads; the second structure lies 16.4 kJ/mol of atoms higher.